[1]
Here is CrOsPt2 after structural relaxation from the Alexandria database. Energies are from PBE.

Cell: 4.3660 2.7386 4.7985 Å, 89.99 90.00 90.00°
With the nearest neighbours (Å) after each atom.
Fractional coordinates of all 4 atoms:
Cr: 0.0000 0.6251 0.4733  2 Os 2.62, 8 Pt 2.70-2.82, 2 Cr 2.74
Os: 0.5000 0.6250 0.7762  2 Cr 2.62, 8 Pt 2.70-2.83, 2 Os 2.74
Pt: 0.0000 0.1248 0.9588  4 Cr 2.70-2.82, 4 Pt 2.71-2.74, 4 Os 2.72
Pt: 0.5000 0.1251 0.2917  4 Os 2.70-2.83, 4 Pt 2.71-2.74, 4 Cr 2.72

Summary:
Energy of formation from the pure elements = -5 meV per atom
Space-group type = Pmm2 (25)
Calculated total energy = -32.95 eV for the cell shown

[2]
Here is Cr2OsPt after structural relaxation from the Alexandria database. Energies are from PBE.

Cell: 2.6886 3.7183 5.4184 Å, 90.00 90.00 90.00°
With the nearest neighbours (Å) after each atom.
Fractional coordinates of all 4 atoms:
Cr: 0.0000 0.0000 0.0228  1 Os 2.37, 4 Cr 2.62
Cr: 0.5000 0.5000 0.2561  4 Os 2.55, 6 Cr 2.62-2.69, 2 Pt 2.68-2.74
Os: 0.0000 0.0000 0.4598  5 Cr 2.37-2.55
Pt: 0.5000 0.5000 0.7613  6 Cr 2.68-2.74, 2 Pt 2.69, 4 Os 2.82

Summary:
Energy of formation from the pure elements = 9 meV per atom
Space-group type = Pmm2 (25)
Calculated total energy = -36.48 eV for the cell shown

[3]
Here is CrOsPt after structural relaxation from the Alexandria database. Energies are from PBE.

Cell: 4.7308 4.7308 4.7308 Å, 147.16 132.67 58.80°
With the nearest neighbours (Å) after each atom.
Fractional coordinates of all 3 atoms:
Cr: 0.9900 0.9900 0.0000  5 Os 2.61-2.92, 2 Cr 2.67, 5 Pt 2.68-2.74
Os: 0.3446 0.3446 0.0000  5 Cr 2.61-2.92, 5 Pt 2.64-2.75, 2 Os 2.67
Pt: 0.6653 0.6653 0.0000  5 Os 2.64-2.75, 2 Pt 2.67, 5 Cr 2.68-2.74

Summary:
Energy of formation from the pure elements = 19 meV per atom
Offset from the most stable computed form = 57.6 meV per atom
Space-group type = Imm2 (44)
Calculated total energy = -26.84 eV for the cell shown

[4]
Here is CrOsPt after structural relaxation from the Alexandria database. Energies are from PBE.

Cell: 6.0108 6.0108 2.7085 Å, 76.98 76.98 26.04°
With the nearest neighbours (Å) after each atom.
Fractional coordinates of all 3 atoms:
Cr: 0.9933 0.9933 0.0067  4 Os 2.54, 4 Pt 2.70, 4 Cr 2.71
Os: 0.3464 0.3464 0.6536  4 Cr 2.54, 4 Os 2.71
Pt: 0.6604 0.6604 0.3396  4 Cr 2.70, 4 Pt 2.71, 4 Os 2.86

Summary:
Energy of formation from the pure elements = -39 meV per atom
Offset from the most stable computed form = 0.0 meV per atom
Space-group type = I4mm (107)
Calculated total energy = -27.01 eV for the cell shown

[5]
Here is CrOsPt2 after structural relaxation from the Alexandria database. Energies are from PBE.

Cell: 4.7616 4.7616 2.7605 Å, 90.00 90.00 110.40°
With the nearest neighbours (Å) after each atom.
Fractional coordinates of all 4 atoms:
Cr: 0.5000 0.0000 0.5000  2 Os 2.72, 8 Pt 2.75, 2 Cr 2.76
Os: 0.0000 0.5000 0.5000  2 Cr 2.72, 8 Pt 2.75, 2 Os 2.76
Pt: 0.0000 0.0000 0.0000  4 Pt 2.72-2.76, 4 Cr 2.75, 4 Os 2.75
Pt: 0.5000 0.5000 0.0000  4 Pt 2.72-2.76, 4 Os 2.75, 4 Cr 2.75

Summary:
Energy of formation from the pure elements = -8 meV per atom
Space-group type = Cmmm (65)
Calculated total energy = -32.97 eV for the cell shown

[6]
Here is CrOsPt after structural relaxation from the Alexandria database. Energies are from PBE.

Cell: 4.2272 4.2272 2.7491 Å, 90.00 90.00 120.00°
With the nearest neighbours (Å) after each atom.
Fractional coordinates of all 3 atoms:
Cr: 0.0000 0.0000 0.1671  3 Os 2.44
Os: 0.6667 0.3333 0.1665  3 Cr 2.44
Pt: 0.3333 0.6667 0.6664  2 Pt 2.75, 6 Cr 2.80, 6 Os 2.80

Summary:
Energy of formation from the pure elements = 166 meV per atom
Offset from the most stable computed form = 204.8 meV per atom
Space-group type = P-6m2 (187)
Calculated total energy = -26.40 eV for the cell shown

[7]
Here is CrOsPt after structural relaxation from the Alexandria database. Energies are from PBE.

Cell: 2.7159 2.7159 6.5903 Å, 90.00 90.00 120.00°
With the nearest neighbours (Å) after each atom.
Fractional coordinates of all 3 atoms:
Cr: 0.0000 0.0000 0.0085  3 Os 2.54, 3 Pt 2.67, 6 Cr 2.72
Os: 0.6667 0.3333 0.3116  3 Cr 2.54, 6 Os 2.72
Pt: 0.3333 0.6667 0.6800  3 Cr 2.67, 6 Pt 2.72, 3 Os 2.89

Summary:
Energy of formation from the pure elements = 17 meV per atom
Offset from the most stable computed form = 56.0 meV per atom
Space-group type = P3m1 (156)
Calculated total energy = -26.84 eV for the cell shown

[8]
Here is CrOsPt2 after structural relaxation from the Alexandria database. Energies are from PBE.

Cell: 9.0945 9.0945 9.0945 Å, 17.20 17.20 17.20°
With the nearest neighbours (Å) after each atom.
Fractional coordinates of all 4 atoms:
Cr: 0.2500 0.2500 0.2500  6 Pt 2.65, 6 Cr 2.72
Os: 0.7500 0.7500 0.7500  6 Os 2.72, 6 Pt 2.82
Pt: 0.9962 0.9962 0.9962  3 Cr 2.65, 6 Pt 2.72, 3 Os 2.82
Pt: 0.5038 0.5038 0.5038  3 Cr 2.65, 6 Pt 2.72, 3 Os 2.82

Summary:
Energy of formation from the pure elements = 75 meV per atom
Space-group type = R-3m (166)
Calculated total energy = -32.63 eV for the cell shown

[9]
Here is Cr2OsPt after structural relaxation from the Alexandria database. Energies are from PBE.

Cell: 3.8030 3.8030 3.6895 Å, 90.00 90.00 90.00°
With the nearest neighbours (Å) after each atom.
Fractional coordinates of all 4 atoms:
Cr: 0.0000 0.0000 0.0000  4 Os 2.65, 4 Pt 2.65, 4 Cr 2.69
Cr: 0.5000 0.5000 0.0000  4 Os 2.65, 4 Pt 2.65, 4 Cr 2.69
Os: 0.5000 0.0000 0.5000  8 Cr 2.65, 4 Pt 2.69
Pt: 0.0000 0.5000 0.5000  8 Cr 2.65, 4 Os 2.69

Summary:
Energy of formation from the pure elements = -45 meV per atom
Space-group type = P4/mmm (123)
Calculated total energy = -36.70 eV for the cell shown

[10]
Here is Cr2OsPt after structural relaxation from the Alexandria database. Energies are from PBE.

Cell: 3.1603 3.1603 5.4830 Å, 90.00 90.00 90.00°
With the nearest neighbours (Å) after each atom.
Fractional coordinates of all 4 atoms:
Cr: 0.0000 0.0000 0.0263  1 Cr 2.45, 4 Os 2.55, 4 Pt 2.70
Cr: 0.0000 0.0000 0.4737  1 Cr 2.45, 4 Os 2.55, 4 Pt 2.70
Os: 0.5000 0.5000 0.2500  8 Cr 2.55, 2 Pt 2.74
Pt: 0.5000 0.5000 0.7500  8 Cr 2.70, 2 Os 2.74

Summary:
Energy of formation from the pure elements = 159 meV per atom
Space-group type = P4/mmm (123)
Calculated total energy = -35.88 eV for the cell shown

[11]
Here is CrOsPt after structural relaxation from the Alexandria database. Energies are from PBE.

Cell: 4.0576 4.0576 4.0576 Å, 60.00 60.00 60.00°
With the nearest neighbours (Å) after each atom.
Fractional coordinates of all 3 atoms:
Cr: 0.7500 0.7500 0.7500  4 Os 2.48, 4 Pt 2.48
Os: 0.0000 0.0000 0.0000  4 Cr 2.48
Pt: 0.5000 0.5000 0.5000  4 Cr 2.48

Summary:
Energy of formation from the pure elements = 297 meV per atom
Offset from the most stable computed form = 335.7 meV per atom
Space-group type = F-43m (216)
Calculated total energy = -26.00 eV for the cell shown

[12]
Here is CrOsPt2 after structural relaxation from the Alexandria database. Energies are from PBE.

Cell: 3.9348 2.7427 6.0723 Å, 63.25 90.00 90.00°
With the nearest neighbours (Å) after each atom.
Fractional coordinates of all 4 atoms:
Cr: 0.5000 0.2500 0.2500  2 Os 2.71, 2 Cr 2.74, 8 Pt 2.75-2.76
Os: 0.5000 0.7500 0.7500  2 Cr 2.71, 2 Os 2.74, 8 Pt 2.75
Pt: 0.0000 0.0021 0.9990  4 Pt 2.70-2.74, 4 Os 2.75, 4 Cr 2.75-2.76
Pt: 0.0000 0.4979 0.5010  4 Pt 2.70-2.74, 4 Os 2.75, 4 Cr 2.75-2.76

Summary:
Energy of formation from the pure elements = 16 meV per atom
Space-group type = P2/m (10)
Calculated total energy = -32.87 eV for the cell shown

Question: What is the calculated total energy in the second record?
Answer: -36.48 eV for the cell shown

Question: The highest energy of formation from the pure elements belongs to which entry?
Answer: number 11

Question: Number 8 is which compound?
Answer: CrOsPt2